Arrangement i

{
  "formula": "ZrOs3",
  "functional": "PBE",
  "state": "relaxed",
  "lattice": [[4.908, 0.000, 0.000], [0.000, 4.908, 0.000], [0.000, 0.000, 4.908]],
  "species": ["Zr", "Os", "Os", "Os"],
  "frac_coords": [[0.000, 0.000, 0.000], [0.000, 0.000, 0.500], [0.000, 0.500, 0.000], [0.500, 0.000, 0.000]],
  "dos_ef_per_ev_fu": 6.44,
  "crystal_system": "cubic",
  "spacegroup": "Pm-3m (221)",
  "m_tot_mub_per_fu": 4.40
}

---

Arrangement ii

{
  "formula": "ZrOs3",
  "functional": "PBE",
  "state": "relaxed",
  "lattice": [[3.298, 0.000, 0.000], [0.000, 3.298, 0.000], [0.000, 0.000, 6.012]],
  "species": ["Zr", "Os", "Os", "Os"],
  "frac_coords": [[0.000, 0.000, 0.000], [0.000, 0.000, 0.500], [0.500, 0.500, 0.275], [0.500, 0.500, 0.725]],
  "dos_ef_per_ev_fu": 6.54,
  "crystal_system": "tetragonal",
  "spacegroup": "P4/mmm (123)",
  "m_tot_mub_per_fu": 0.20
}

---

The most stable arrangement is arrangement ii, and the next structure is 304.9 kJ/mol of atoms less stable.

---

Arrangement i

{
  "formula": "ZrOs3",
  "functional": "PBE",
  "state": "relaxed",
  "lattice": [[1.390, 0.802, 9.499], [-1.390, 0.802, 9.499], [0.000, -1.605, 9.499]],
  "species": ["Zr", "Os", "Os", "Os"],
  "frac_coords": [[0.000, 0.000, 0.000], [0.243, 0.243, 0.243], [0.500, 0.500, 0.500], [0.757, 0.757, 0.757]],
  "dos_ef_per_ev_fu": 4.64,
  "crystal_system": "trigonal",
  "spacegroup": "R-3m (166)",
  "m_tot_mub_per_fu": 0.00
}

---

Arrangement ii

{
  "formula": "ZrOs3",
  "functional": "PBE",
  "state": "relaxed",
  "lattice": [[-1.988, 1.988, 8.054], [1.988, -1.988, 8.054], [1.988, 1.988, -8.054]],
  "species": ["Zr", "Zr", "Os", "Os", "Os", "Os", "Os", "Os"],
  "frac_coords": [[0.119, 0.119, 0.000], [0.881, 0.881, 0.000], [0.000, 0.500, 0.500], [0.250, 0.750, 0.500], [0.370, 0.370, 0.000], [0.500, 0.000, 0.500], [0.630, 0.630, 0.000], [0.750, 0.250, 0.500]],
  "dos_ef_per_ev_fu": 5.38,
  "crystal_system": "tetragonal",
  "spacegroup": "I4/mmm (139)",
  "m_tot_mub_per_fu": 0.00
}

---

Arrangement iii

{
  "formula": "ZrOs3",
  "functional": "PBE",
  "state": "relaxed",
  "lattice": [[0.000, 3.187, 3.187], [3.187, 0.000, 3.187], [3.187, 3.187, 0.000]],
  "species": ["Zr", "Os", "Os", "Os"],
  "frac_coords": [[0.000, 0.000, 0.000], [0.250, 0.250, 0.250], [0.500, 0.500, 0.500], [0.750, 0.750, 0.750]],
  "dos_ef_per_ev_fu": 6.15,
  "crystal_system": "cubic",
  "spacegroup": "Fm-3m (225)",
  "m_tot_mub_per_fu": 1.71
}

---

Arrangement iv

{
  "formula": "ZrOs3",
  "functional": "PBE",
  "state": "relaxed",
  "lattice": [[5.363, 0.000, 0.000], [0.000, 9.008, 0.000], [0.000, 0.000, 5.386]],
  "species": ["Zr", "Zr", "Zr", "Zr", "Os", "Os", "Os", "Os", "Os", "Os", "Os", "Os", "Os", "Os", "Os", "Os"],
  "frac_coords": [[0.051, 0.250, 0.088], [0.449, 0.750, 0.588], [0.551, 0.250, 0.412], [0.949, 0.750, 0.912], [0.077, 0.250, 0.586], [0.184, 0.518, 0.328], [0.184, 0.982, 0.328], [0.316, 0.018, 0.828], [0.316, 0.482, 0.828], [0.423, 0.750, 0.086], [0.577, 0.250, 0.914], [0.684, 0.518, 0.172], [0.684, 0.982, 0.172], [0.816, 0.018, 0.672], [0.816, 0.482, 0.672], [0.923, 0.750, 0.414]],
  "dos_ef_per_ev_fu": 2.47,
  "crystal_system": "orthorhombic",
  "spacegroup": "Pnma (62)",
  "m_tot_mub_per_fu": 0.00
}

---

The most stable arrangement is arrangement iv, and the next structure is 8.5 kJ/mol of atoms less stable.

---

Arrangement i

{
  "formula": "ZrOs3",
  "functional": "PBE",
  "state": "relaxed",
  "lattice": [[2.934, -4.806, 0.000], [2.934, 4.806, 0.000], [0.000, 0.000, 4.540]],
  "species": ["Zr", "Zr", "Os", "Os", "Os", "Os", "Os", "Os"],
  "frac_coords": [[0.142, 0.858, 0.750], [0.858, 0.142, 0.250], [0.181, 0.367, 0.750], [0.328, 0.672, 0.250], [0.367, 0.181, 0.250], [0.633, 0.819, 0.750], [0.672, 0.328, 0.750], [0.819, 0.633, 0.250]],
  "dos_ef_per_ev_fu": 4.72,
  "crystal_system": "orthorhombic",
  "spacegroup": "Cmcm (63)",
  "m_tot_mub_per_fu": 0.00
}

---

Arrangement ii

{
  "formula": "ZrOs3",
  "functional": "PBE",
  "state": "relaxed",
  "lattice": [[4.593, 0.000, 0.000], [0.000, 4.593, 0.000], [0.000, 0.000, 3.036]],
  "species": ["Zr", "Os", "Os", "Os"],
  "frac_coords": [[0.000, 0.000, 0.000], [0.000, 0.500, 0.500], [0.500, 0.000, 0.500], [0.500, 0.500, 0.000]],
  "dos_ef_per_ev_fu": 5.19,
  "crystal_system": "tetragonal",
  "spacegroup": "P4/mmm (123)",
  "m_tot_mub_per_fu": 0.00
}

---

The most stable arrangement is arrangement i, and the next structure is 18.9 kJ/mol of atoms less stable.